Record 1
VASP calculation (GGA-PBE) on a geometry-optimized Tb2TmAl structure.

Calculated values
* distance to the lowest polymorph of the same formula: 9 meV/atom
* crystal system: tetragonal
* energy of formation: -189 meV/atom
* V: 107.2 Å³/f.u.

a b c (Å): 4.738 4.756 4.756
angles (deg): 90.00 90.00 90.00
Sites, in units of the cell vectors:
Tm  0.500  0.500  0.500
Tb  0.000  0.000  0.500
Tb  0.000  0.500  0.000
Al  0.500  0.000  0.000

Record 2
VASP calculation (GGA-PBE) on a geometry-optimized Hf2MgSc structure.

Calculated values
* crystal system: tetragonal
* energy of formation: 523 meV/atom
* V: 94.2 Å³/f.u.

a b c (Å): 4.183 4.183 11.163
angles (deg): 79.20 79.20 90.00
Sites, in units of the cell vectors:
Sc  0.000  0.000  0.000
Sc  0.750  0.250  0.500
Mg  0.500  0.500  0.000
Mg  0.250  0.750  0.500
Hf  0.624  0.125  0.250
Hf  0.126  0.625  0.250
Hf  0.375  0.376  0.750
Hf  0.875  0.874  0.750

Record 3
VASP calculation (GGA-PBE) on a geometry-optimized CsAsPSe2 structure.

Calculated values
* distance to the lowest polymorph of the same formula: 0 meV/atom
* E_form (uncorrected): 0.056 eV per atom
* crystal system: tetragonal
* V: 135.8 Å³/f.u.

a b c (Å): 5.274 5.274 4.881
angles (deg): 90.00 90.00 90.00
Last column: magnetic moment on the atom in μB.
Sites, in units of the cell vectors:
Cs  0.500  0.500  0.500  0.01
P  0.000  0.000  0.000  -0.01
As  0.000  0.000  0.500  0.16
Se  0.000  0.500  0.000  0.03
Se  0.500  0.000  0.000  0.03

Record 4
VASP calculation (GGA-PBE) on a geometry-optimized Zn2SiPb2 structure.

Calculated values
* E_form (uncorrected): 0.246 eV per atom
* crystal system: tetragonal
* V: 114.2 Å³/f.u.

a b c (Å): 6.641 6.641 5.180
angles (deg): 90.00 90.00 90.00
Sites, in units of the cell vectors:
Pb  0.180  0.680  0.500
Pb  0.680  0.820  0.500
Pb  0.820  0.320  0.500
Pb  0.320  0.180  0.500
Zn  0.364  0.864  0.000
Zn  0.864  0.636  0.000
Zn  0.636  0.136  0.000
Zn  0.136  0.364  0.000
Si  0.000  0.000  0.000
Si  0.500  0.500  0.000

Record 5
VASP calculation (GGA-PBE) on a geometry-optimized Sr2DyTc3O12 structure.

Calculated values
* E_form (uncorrected): -1.942 eV per atom
* crystal system: trigonal
* V: 244.0 Å³/f.u.

a b c (Å): 6.697 6.697 6.697
angles (deg): 66.96 66.96 66.96
Last column: magnetic moment on the atom in μB.
Sites, in units of the cell vectors:
Sr  0.617  0.617  0.617  0.00
Sr  0.383  0.383  0.383  0.00
Dy  0.000  0.000  0.000  0.03
Tc  0.500  0.000  0.000  0.21
Tc  0.000  0.500  0.000  0.21
Tc  0.000  0.000  0.500  0.21
O  0.276  0.276  0.894  0.00
O  0.862  0.862  0.417  0.02
O  0.417  0.862  0.862  0.02
O  0.894  0.276  0.276  0.00
O  0.862  0.417  0.862  0.02
O  0.276  0.894  0.276  0.00
O  0.724  0.724  0.106  0.00
O  0.138  0.138  0.583  0.02
O  0.583  0.138  0.138  0.02
O  0.106  0.724  0.724  0.00
O  0.138  0.583  0.138  0.02
O  0.724  0.106  0.724  0.00

Record 6
VASP calculation (GGA-PBE) on a geometry-optimized Sr5Zn structure.

Calculated values
* distance to the lowest polymorph of the same formula: 0 meV/atom
* crystal system: tetragonal
* energy of formation: -59 meV/atom
* V: 275.8 Å³/f.u.

a b c (Å): 4.063 4.063 16.703
angles (deg): 90.00 90.00 90.00
Sites, in units of the cell vectors:
Sr  0.000  0.000  0.888
Sr  0.000  0.000  0.112
Sr  0.500  0.500  0.693
Sr  0.500  0.500  0.307
Sr  0.000  0.000  0.500
Zn  0.500  0.500  0.000

Record 7
VASP calculation (GGA-PBE) on a geometry-optimized BP2IrS structure.

Calculated values
* distance to the lowest polymorph of the same formula: 621 meV/atom
* E_form (uncorrected): 1.458 eV per atom
* crystal system: tetragonal
* V: 103.3 Å³/f.u.

a b c (Å): 4.467 4.467 5.177
angles (deg): 90.00 90.00 90.00
Sites, in units of the cell vectors:
P  0.000  0.500  0.000
P  0.500  0.000  0.000
S  0.000  0.000  0.500
Ir  0.000  0.000  0.000
B  0.500  0.500  0.500

Record 8
VASP calculation (GGA-PBE) on a geometry-optimized Ce4AsRu structure.

Calculated values
* crystal system: monoclinic
* energy of formation: -556 meV/atom
* V: 142.7 Å³/f.u.

a b c (Å): 7.880 6.032 7.555
angles (deg): 104.30 113.89 106.97
Last column: magnetic moment on the atom in μB.
Sites, in units of the cell vectors:
Ce  0.934  0.348  0.112  0.20
Ce  0.678  0.764  0.112  0.20
Ce  0.387  0.694  0.680  0.23
Ce  0.613  0.306  0.320  0.23
Ce  0.207  0.014  0.320  0.23
Ce  0.322  0.236  0.888  0.20
Ce  0.793  0.986  0.680  0.23
Ce  0.066  0.652  0.888  0.20
As  0.387  0.637  0.273  -0.01
As  0.613  0.363  0.727  -0.01
Ru  0.003  0.753  0.507  -0.04
Ru  0.997  0.247  0.493  -0.04

Record 9
VASP calculation (GGA-PBE) on a geometry-optimized Ac5In4Au structure.

Calculated values
* crystal system: tetragonal
* energy of formation: -495 meV/atom
* V: 336.3 Å³/f.u.

a b c (Å): 3.940 3.940 21.665
angles (deg): 90.00 90.00 90.00
Sites, in units of the cell vectors:
Ac  0.500  0.500  0.088
Ac  0.500  0.500  0.294
Ac  0.500  0.500  0.500
Ac  0.500  0.500  0.706
Ac  0.500  0.500  0.912
In  0.000  0.000  0.191
In  0.000  0.000  0.397
In  0.000  0.000  0.603
In  0.000  0.000  0.809
Au  0.000  0.000  0.000

Record 10
VASP calculation (GGA-PBE) on a geometry-optimized As5Pt structure.

Calculated values
* distance to the lowest polymorph of the same formula: 617 meV/atom
* crystal system: hexagonal
* energy of formation: 628 meV/atom
* V: 123.8 Å³/f.u.

a b c (Å): 5.041 5.041 5.627
angles (deg): 90.00 90.00 120.00
Sites, in units of the cell vectors:
As  0.333  0.667  0.000
As  0.667  0.333  0.000
As  0.500  0.000  0.500
As  0.000  0.500  0.500
As  0.500  0.500  0.500
Pt  0.000  0.000  0.000

Record 11
VASP calculation (GGA-PBE) on a geometry-optimized Na8TlS6 structure.

Calculated values
* E_form (uncorrected): -0.780 eV per atom
* crystal system: orthorhombic
* V: 383.3 Å³/f.u.

a b c (Å): 8.456 7.480 12.119
angles (deg): 90.00 90.00 90.00
Last column: magnetic moment on the atom in μB.
Sites, in units of the cell vectors:
Na  0.367  0.000  0.950  0.00
Na  0.633  0.500  0.450  0.00
Na  0.932  0.791  0.169  0.00
Na  0.068  0.709  0.669  0.00
Na  0.068  0.291  0.669  0.00
Na  0.932  0.209  0.169  0.00
Na  0.447  0.715  0.681  0.00
Na  0.553  0.785  0.181  0.00
Na  0.553  0.215  0.181  0.00
Na  0.447  0.285  0.681  0.00
Na  0.766  0.777  0.842  0.00
Na  0.234  0.723  0.342  0.00
Na  0.234  0.277  0.342  0.00
Na  0.766  0.223  0.842  0.00
Na  0.257  0.000  0.517  0.00
Na  0.743  0.500  0.017  0.00
Tl  0.755  0.000  0.474  0.00
Tl  0.245  0.500  0.974  0.00
S  0.718  0.000  0.024  0.06
S  0.282  0.500  0.524  0.06
S  0.254  0.000  0.734  0.10
S  0.746  0.500  0.234  0.10
S  0.008  0.000  0.360  0.02
S  0.992  0.500  0.860  0.02
S  0.495  0.000  0.366  0.02
S  0.505  0.500  0.866  0.02
S  0.245  0.761  0.114  0.02
S  0.755  0.739  0.614  0.02
S  0.755  0.261  0.614  0.02
S  0.245  0.239  0.114  0.02

Record 12
VASP calculation (GGA-PBE) on a geometry-optimized RbNbZn2 structure.

Calculated values
* distance to the lowest polymorph of the same formula: 66 meV/atom
* crystal system: cubic
* energy of formation: 995 meV/atom
* V: 96.3 Å³/f.u.

a b c (Å): 5.145 5.145 5.145
angles (deg): 60.00 60.00 60.00
Last column: magnetic moment on the atom in μB.
Sites, in units of the cell vectors:
Nb  0.500  0.500  0.500  1.89
Zn  0.250  0.250  0.250  -0.01
Zn  0.750  0.750  0.750  -0.01
Rb  0.000  0.000  0.000  0.03